First-principles (PBE) data for NaErSe2O8 after structural relaxation, as listed in Alexandria via LeMat-Bulk. Values from VASP.

```
&SYSTEM
  ibrav = 0, nat = 12, ntyp = 4
/
ATOMIC_SPECIES
Na 22.99 Na.upf
Er 167.26 Er.upf
Se 78.96 Se.upf
O 16.00 O.upf
CELL_PARAMETERS angstrom
-2.5277 2.5277 5.7718
2.5277 -2.5277 5.7718
2.5277 2.5277 -5.7718
ATOMIC_POSITIONS angstrom
Na 0.0000 0.0000 0.0000
Er 2.5277 0.0000 2.8859
Se 0.0000 0.0000 5.7718
Se 0.0000 2.5277 2.8859
O 1.2364 -0.6574 4.8423
O 1.8703 1.2913 0.9295
O -0.7361 1.2850 2.0329
O 1.2913 3.1851 -0.9295
O 1.2427 1.7916 3.7389
O 0.6574 1.2364 6.7013
O 0.7361 3.7704 2.0329
O -1.2427 3.2638 3.7389
```

Values from the calculation:
E_form (uncorrected)	-1.480	eV/atom
energy	-5.86	eV per atom
space-group type	I-4, No. 82

First-principles (PBE) data for LaTbNd2Sm5 after structural relaxation, as listed in Alexandria via LeMat-Bulk. Values from VASP.

```
&SYSTEM
  ibrav = 0, nat = 18, ntyp = 4
/
ATOMIC_SPECIES
La 138.91 La.upf
Tb 158.93 Tb.upf
Nd 144.24 Nd.upf
Sm 150.36 Sm.upf
CELL_PARAMETERS angstrom
-4.4377 4.4377 7.9337
4.4377 -4.4377 7.9337
4.4377 4.4377 -7.9337
ATOMIC_POSITIONS angstrom
La 0.0000 0.0000 3.9668
La 0.0000 0.0000 11.9005
Tb 4.4377 0.0000 3.9668
Tb 0.0000 4.4377 3.9668
Nd 5.4834 1.0458 0.0000
Nd 1.0458 3.3919 0.0000
Nd 3.3919 1.0458 7.9337
Nd -1.0458 3.3919 7.9337
Sm 0.0000 0.0000 0.0000
Sm 2.5905 1.8472 -2.1784
Sm 2.5905 -1.8472 5.7553
Sm 2.5905 1.8472 2.1784
Sm 2.5905 -1.8472 10.1120
Sm 0.0000 0.0000 7.9337
Sm 1.8472 6.2849 -2.1784
Sm 1.8472 2.5905 5.7553
Sm 1.8472 6.2849 2.1784
Sm 1.8472 2.5905 10.1120
```

Values from the calculation:
formation energy	224	kJ/mol of formula units
energy	-4.49	eV per atom
space-group type	I4/mcm, No. 140

First-principles (PBE) data for TbPmOs after structural relaxation, as listed in Alexandria via LeMat-Bulk. Values from VASP.

```
&SYSTEM
  ibrav = 0, nat = 3, ntyp = 3
/
ATOMIC_SPECIES
Tb 158.93 Tb.upf
Pm 145.00 Pm.upf
Os 190.23 Os.upf
CELL_PARAMETERS angstrom
0.0000 3.4258 3.4258
3.4258 0.0000 3.4258
3.4258 3.4258 0.0000
ATOMIC_POSITIONS angstrom
Tb 0.0000 0.0000 0.0000
Pm 3.4258 3.4258 3.4258
Os 1.7129 1.7129 1.7129
```

Values from the calculation:
energy above the lowest structure with this stoichiometry	0.0027	eV per atom
formation energy	-38	kJ/mol of formula units
energy	-7.00	eV per atom
space-group type	F-43m, No. 216

First-principles (PBE) data for ReSiPd2 after structural relaxation, as listed in Alexandria via LeMat-Bulk. Values from VASP.

```
&SYSTEM
  ibrav = 0, nat = 8, ntyp = 3
/
ATOMIC_SPECIES
Re 186.21 Re.upf
Si 28.09 Si.upf
Pd 106.42 Pd.upf
CELL_PARAMETERS angstrom
-1.8434 1.8434 9.2334
1.8434 -1.8434 9.2334
1.8434 1.8434 -9.2334
ATOMIC_POSITIONS angstrom
Re 0.0000 0.0000 0.0000
Re 0.0000 1.8434 4.6167
Si 1.8434 0.0000 4.6167
Si 0.0000 0.0000 9.2334
Pd 0.9217 -0.9080 6.9251
Pd 0.9354 0.9217 2.3084
Pd 0.9217 2.7514 -2.3084
Pd 0.9080 0.9217 11.5418
```

Values from the calculation:
E_form (uncorrected)	0.345	eV/atom
energy	-6.72	eV per atom
space-group type	I-42d, No. 122

First-principles (PBE) data for EuGdCdAu after structural relaxation, as listed in Alexandria via LeMat-Bulk. Values from VASP.

```
&SYSTEM
  ibrav = 0, nat = 4, ntyp = 4
/
ATOMIC_SPECIES
Eu 151.96 Eu.upf
Gd 157.25 Gd.upf
Cd 112.41 Cd.upf
Au 196.97 Au.upf
CELL_PARAMETERS angstrom
0.0000 3.7588 3.7588
3.7588 0.0000 3.7588
3.7588 3.7588 0.0000
ATOMIC_POSITIONS angstrom
Eu 0.0000 0.0000 0.0000
Gd 3.7588 3.7588 3.7588
Cd 1.8794 1.8794 1.8794
Au 5.6382 5.6382 5.6382
```

Values from the calculation:
formation energy	-203	kJ/mol of formula units
energy	-7.66	eV per atom
space-group type	F-43m, No. 216

First-principles (PBE) data for Tl2ReTe after structural relaxation, as listed in Alexandria via LeMat-Bulk. Values from VASP.

```
&SYSTEM
  ibrav = 0, nat = 8, ntyp = 3
/
ATOMIC_SPECIES
Tl 204.38 Tl.upf
Re 186.21 Re.upf
Te 127.60 Te.upf
CELL_PARAMETERS angstrom
-2.1160 2.1160 11.4445
2.1160 -2.1160 11.4445
2.1160 2.1160 -11.4445
ATOMIC_POSITIONS angstrom
Tl 3.1740 1.0251 -2.8611
Tl 1.0251 1.0580 2.8611
Tl -1.0580 1.0909 8.5834
Tl 1.0909 1.0580 14.3056
Re 0.0000 0.0000 0.0000
Re 0.0000 2.1160 5.7223
Te 2.1160 0.0000 5.7223
Te 0.0000 0.0000 11.4445
```

Values from the calculation:
E_form (uncorrected)	1.018	eV/atom
energy above the lowest structure with this stoichiometry	0.6114	eV per atom
energy	-4.06	eV per atom
space-group type	I-42d, No. 122

Please write out number 2 again, unchanged.
First-principles (PBE) data for LaTbNd2Sm5 after structural relaxation, as listed in Alexandria via LeMat-Bulk. Values from VASP.

```
&SYSTEM
  ibrav = 0, nat = 18, ntyp = 4
/
ATOMIC_SPECIES
La 138.91 La.upf
Tb 158.93 Tb.upf
Nd 144.24 Nd.upf
Sm 150.36 Sm.upf
CELL_PARAMETERS angstrom
-4.4377 4.4377 7.9337
4.4377 -4.4377 7.9337
4.4377 4.4377 -7.9337
ATOMIC_POSITIONS angstrom
La 0.0000 0.0000 3.9668
La 0.0000 0.0000 11.9005
Tb 4.4377 0.0000 3.9668
Tb 0.0000 4.4377 3.9668
Nd 5.4834 1.0458 0.0000
Nd 1.0458 3.3919 0.0000
Nd 3.3919 1.0458 7.9337
Nd -1.0458 3.3919 7.9337
Sm 0.0000 0.0000 0.0000
Sm 2.5905 1.8472 -2.1784
Sm 2.5905 -1.8472 5.7553
Sm 2.5905 1.8472 2.1784
Sm 2.5905 -1.8472 10.1120
Sm 0.0000 0.0000 7.9337
Sm 1.8472 6.2849 -2.1784
Sm 1.8472 2.5905 5.7553
Sm 1.8472 6.2849 2.1784
Sm 1.8472 2.5905 10.1120
```

Values from the calculation:
formation energy	224	kJ/mol of formula units
energy	-4.49	eV per atom
space-group type	I4/mcm, No. 140

Please write out number 1 again, unchanged.
First-principles (PBE) data for NaErSe2O8 after structural relaxation, as listed in Alexandria via LeMat-Bulk. Values from VASP.

```
&SYSTEM
  ibrav = 0, nat = 12, ntyp = 4
/
ATOMIC_SPECIES
Na 22.99 Na.upf
Er 167.26 Er.upf
Se 78.96 Se.upf
O 16.00 O.upf
CELL_PARAMETERS angstrom
-2.5277 2.5277 5.7718
2.5277 -2.5277 5.7718
2.5277 2.5277 -5.7718
ATOMIC_POSITIONS angstrom
Na 0.0000 0.0000 0.0000
Er 2.5277 0.0000 2.8859
Se 0.0000 0.0000 5.7718
Se 0.0000 2.5277 2.8859
O 1.2364 -0.6574 4.8423
O 1.8703 1.2913 0.9295
O -0.7361 1.2850 2.0329
O 1.2913 3.1851 -0.9295
O 1.2427 1.7916 3.7389
O 0.6574 1.2364 6.7013
O 0.7361 3.7704 2.0329
O -1.2427 3.2638 3.7389
```

Values from the calculation:
E_form (uncorrected)	-1.480	eV/atom
energy	-5.86	eV per atom
space-group type	I-4, No. 82

Question: energy of number 2 (LaTbNd2Sm5)?
Answer: -4.49 eV per atom